! CaNiO2 (GGA+U, relaxed); values from VASP
! Total moment, μB/cell: 8.0
! Calculated total energy, eV per atom: -5.475
&SYSTEM
  ibrav = 0, nat = 16, ntyp = 3
/
ATOMIC_SPECIES
Ca 40.08 Ca.upf
Ni 58.69 Ni.upf
O 16.00 O.upf
ATOMIC_POSITIONS crystal
Ca 0.155 0.250 0.414
Ca 0.341 0.750 0.058
Ca 0.659 0.250 0.942
Ca 0.845 0.750 0.586
Ni 0.219 0.750 0.728
Ni 0.492 0.750 0.356
Ni 0.508 0.250 0.644
Ni 0.781 0.250 0.272
O 0.056 0.250 0.659
O 0.339 0.250 0.240
O 0.354 0.750 0.547
O 0.359 0.250 0.861
O 0.641 0.750 0.139
O 0.646 0.250 0.453
O 0.661 0.750 0.760
O 0.944 0.750 0.341
CELL_PARAMETERS angstrom
7.949 0.000 0.000
0.000 3.123 0.000
-1.360 0.000 8.786